[1]
CaFePt2, relaxed, DFT PBE; energy relative to the elements = -139 meV/atom
1.0
-1.565 1.534 -4.049
-2.113 -2.889 -2.895
-4.531 0.373 -0.725
Ca Fe Pt
1 1 2
direct
0.500 0.500 0.500
0.250 0.250 0.250
0.000 0.000 0.000
0.750 0.750 0.750

[2]
Cu2SiTc, relaxed, DFT PBE; E_form (uncorrected) = 0.20 eV per atom
1.0
2.568 0.022 0.000
-0.014 2.569 0.000
0.000 0.000 7.982
Cu Si Tc
2 1 1
direct
0.000 0.000 0.010
0.000 0.000 0.490
0.500 0.500 0.250
0.500 0.500 0.750

[3]
TbCeC4, relaxed, DFT PBE; energy relative to the elements = -161 meV/atom
1.0
3.733 0.000 0.000
0.000 3.734 -0.021
0.000 -0.023 6.296
Tb Ce C
1 1 4
direct
0.500 0.500 0.500
0.000 0.000 0.000
0.000 0.999 0.603
0.500 0.502 0.896
0.500 0.498 0.104
0.000 0.001 0.397

[4]
Sm5YEr2Tm, relaxed, DFT PBE; energy relative to the elements = 155 meV/atom
1.0
5.618 0.000 0.000
-2.809 10.101 0.000
0.000 0.000 10.586
Sm Y Er Tm
10 2 4 2
direct
0.385 0.770 0.022
0.721 0.442 0.813
0.482 0.963 0.742
0.299 0.598 0.709
0.984 0.967 0.518
0.615 0.230 0.522
0.279 0.558 0.313
0.518 0.037 0.242
0.701 0.402 0.209
0.016 0.033 0.018
0.591 0.182 0.959
0.409 0.818 0.459
0.886 0.772 0.811
0.113 0.225 0.738
0.114 0.228 0.311
0.887 0.775 0.238
0.801 0.603 0.512
0.199 0.397 0.012

[5]
Cs, relaxed, DFT PBE; energy relative to the elements = 92 meV/atom; E above lowest polymorph = 0.09 eV/f.u.
1.0
4.999 0.000 0.000
0.000 4.999 0.000
0.000 0.000 4.999
Cs
1
direct
0.000 0.000 0.000

[6]
MgMnI4, relaxed, DFT PBE; E_form (uncorrected) = -0.74 eV per atom
1.0
4.172 0.000 0.000
-2.086 8.439 0.726
0.000 -3.632 6.282
Mg Mn I
1 1 4
direct
0.500 0.000 0.500
0.000 0.000 0.000
0.392 0.784 0.056
0.109 0.218 0.439
0.608 0.216 0.944
0.891 0.782 0.561

[7]
TaTc, relaxed, DFT PBE; energy relative to the elements = -103 meV/atom
1.0
-4.006 -0.149 -3.187
-2.372 -3.281 3.135
-2.133 3.929 2.498
Ta Tc
4 4
direct
0.408 0.408 0.408
0.092 0.592 0.908
0.592 0.908 0.092
0.908 0.092 0.592
0.090 0.090 0.090
0.410 0.910 0.590
0.910 0.590 0.410
0.590 0.410 0.910

[8]
ZnHgRu3, relaxed, DFT PBE; energy relative to the elements = 2287 meV/atom; E above lowest polymorph = 4.12 eV/f.u.
1.0
-0.919 -4.842 -0.703
3.300 -0.085 -3.727
3.613 -1.154 3.225
Ru Zn Hg
3 1 1
direct
0.000 0.500 0.000
0.000 0.000 0.500
0.500 0.000 0.000
0.500 0.500 0.500
0.000 0.000 0.000

[9]
Cs2NaSr, relaxed, DFT PBE; energy relative to the elements = 130 meV/atom; E above lowest polymorph = 0.00 eV/f.u.
1.0
4.830 0.000 0.000
0.000 4.830 0.000
0.000 0.000 12.653
Cs Sr Na
2 1 1
direct
0.000 0.000 0.778
0.000 0.000 0.222
0.500 0.500 0.500
0.500 0.500 0.000

[10]
LuScCdIn, relaxed, DFT PBE; energy relative to the elements = -360 meV/atom
1.0
-4.926 -0.177 1.349
-1.370 -2.240 4.385
-1.685 2.838 3.902
Sc Cd Lu In
1 1 1 1
direct
0.000 0.000 0.000
0.750 0.750 0.750
0.500 0.500 0.500
0.250 0.250 0.250

[11]
AgOF3, relaxed, DFT PBE; E above lowest polymorph = 3.52 eV/f.u.; E_form (uncorrected) = -0.02 eV per atom
1.0
-1.674 1.330 -3.232
2.506 -2.042 -2.138
-2.437 -3.013 0.022
O Ag F
1 1 3
direct
0.000 0.000 0.000
0.500 0.500 0.500
0.000 0.500 0.000
0.000 0.000 0.500
0.500 0.000 0.000

[12]
LiDyAs2Rh5, relaxed, DFT PBE; energy relative to the elements = -384 meV/atom
1.0
4.061 0.000 0.000
0.000 4.061 0.000
0.000 0.000 11.676
Li Dy As Rh
1 1 2 5
direct
0.000 0.000 0.000
0.500 0.500 0.500
0.000 0.000 0.211
0.000 0.000 0.789
0.000 0.000 0.500
0.000 0.500 0.678
0.500 0.000 0.322
0.000 0.500 0.322
0.500 0.000 0.678

What did the eighth record say?
ZnHgRu3, relaxed, DFT PBE; energy relative to the elements = 2287 meV/atom; E above lowest polymorph = 4.12 eV/f.u.
1.0
-0.919 -4.842 -0.703
3.300 -0.085 -3.727
3.613 -1.154 3.225
Ru Zn Hg
3 1 1
direct
0.000 0.500 0.000
0.000 0.000 0.500
0.500 0.000 0.000
0.500 0.500 0.500
0.000 0.000 0.000